Compound: CeRuPt
Source: the Alexandria database
Functional: PBE
Structure: relaxed

Results
Symmetry ... P2_1/m, No. 11
Formation energy from the elements ... -0.61 eV per atom
Calculated total energy ... -46.1 eV per cell

a b c (Å): 4.8499 4.6652 5.4297
angles (deg): 90.00 101.93 90.00
With the nearest neighbours (Å) after each atom.
Positions (direct):
Ce: 0.0489 0.2500 0.2651  2 Ru 2.41-2.64
Ce: 0.9511 0.7500 0.7349  2 Ru 2.41-2.64
Ru: 0.3955 0.7500 0.6039  2 Ce 2.41-2.64
Ru: 0.6045 0.2500 0.3961  2 Ce 2.41-2.64
Pt: 0.4652 0.2500 0.8662  4 Ru 2.72-2.82, 2 Pt 2.73
Pt: 0.5348 0.7500 0.1338  4 Ru 2.72-2.82, 2 Pt 2.73

---

Compound: Ce2Si4RuPt3
Source: the Alexandria database
Functional: PBE
Structure: relaxed

Results
Formation energy without anion corrections ... -1072 meV per atom
Symmetry ... P-4m2, No. 115
Calculated total energy ... -71.7 eV per cell

a b c (Å): 4.1912 4.1912 9.9583
angles (deg): 90.00 90.00 90.00
With the nearest neighbours (Å) after each atom.
Positions (direct):
Ce: 0.0000 0.5000 0.2491  8 Si 3.20-3.25, 6 Pt 3.21-3.26, 2 Ru 3.26
Ce: 0.5000 0.0000 0.7509  8 Si 3.20-3.25, 6 Pt 3.21-3.26, 2 Ru 3.26
Si: 0.0000 0.0000 0.0000  4 Pt 2.43
Si: 0.0000 0.5000 0.6306  3 Pt 2.44-2.47, 2 Ru 2.47
Si: 0.5000 0.0000 0.3694  3 Pt 2.44-2.47, 2 Ru 2.47
Si: 0.5000 0.5000 0.0000  4 Pt 2.43
Ru: 0.0000 0.0000 0.5000  4 Si 2.47
Pt: 0.0000 0.5000 0.8757  5 Si 2.43-2.44
Pt: 0.5000 0.0000 0.1243  5 Si 2.43-2.44
Pt: 0.5000 0.5000 0.5000  4 Si 2.47

---

Compound: Ce3PtS6
Source: the Alexandria database
Functional: PBE
Structure: relaxed

Results
Formation energy without anion corrections ... -1575 meV per atom
Symmetry ... Cmc2_1, No. 36
Calculated total energy ... -128.7 eV per cell

a b c (Å): 8.6270 8.6270 6.3548
angles (deg): 90.00 90.00 101.99
With the nearest neighbours (Å) after each atom.
Positions (direct):
Ce: 0.1128 0.8872 0.5000  7 S 2.75-2.89
Ce: 0.2197 0.4292 0.5818  7 S 2.76-2.91
Ce: 0.4292 0.2197 0.0818  7 S 2.76-2.91
Ce: 0.5708 0.7803 0.5818  7 S 2.76-2.91
Ce: 0.7803 0.5708 0.0818  7 S 2.76-2.91
Ce: 0.8872 0.1128 0.0000  7 S 2.75-2.89
Pt: 0.3078 0.6922 0.1727  4 S 2.35-2.47
Pt: 0.6922 0.3078 0.6727  4 S 2.35-2.47
S: 0.0532 0.5909 0.3196  1 Pt 2.38
S: 0.1365 0.1863 0.2910  4 Ce 2.77-2.87
S: 0.1863 0.1365 0.7910  4 Ce 2.77-2.87
S: 0.2790 0.7210 0.7893  1 Pt 2.47
S: 0.4091 0.9468 0.3196  1 Pt 2.38
S: 0.4741 0.5259 0.2916  1 Pt 2.35
S: 0.5259 0.4741 0.7916  1 Pt 2.35
S: 0.5909 0.0532 0.8196  1 Pt 2.38
S: 0.7210 0.2790 0.2893  1 Pt 2.47
S: 0.8137 0.8635 0.2910  4 Ce 2.77-2.87
S: 0.8635 0.8137 0.7910  4 Ce 2.77-2.87
S: 0.9468 0.4091 0.8196  1 Pt 2.38

---

Compound: CePt7S12
Source: the Alexandria database
Functional: PBE
Structure: relaxed

Results
Formation energy without anion corrections ... -273 meV per atom
Symmetry ... R-3, No. 148
Calculated total energy ... -103.2 eV per cell

a b c (Å): 8.0956 8.0956 8.0956
angles (deg): 108.36 108.36 108.36
With the nearest neighbours (Å) after each atom.
Positions (direct):
Ce: 0.0000 0.0000 0.0000  6 Pt 2.72
Pt: 0.0206 0.1398 0.3628  5 S 2.38-2.59
Pt: 0.1398 0.3628 0.0206  5 S 2.38-2.59
Pt: 0.3628 0.0206 0.1398  5 S 2.38-2.59
Pt: 0.5000 0.5000 0.5000  6 S 2.40
Pt: 0.6372 0.9794 0.8602  5 S 2.38-2.59
Pt: 0.8602 0.6372 0.9794  5 S 2.38-2.59
Pt: 0.9794 0.8602 0.6372  5 S 2.38-2.59
S: 0.1449 0.1996 0.7229  3 Pt 2.38-2.59
S: 0.1673 0.4465 0.3568  3 Pt 2.40-2.51
S: 0.1996 0.7229 0.1449  3 Pt 2.38-2.59
S: 0.2771 0.8551 0.8004  3 Pt 2.38-2.59
S: 0.3568 0.1673 0.4465  3 Pt 2.40-2.51
S: 0.4465 0.3568 0.1673  3 Pt 2.40-2.51
S: 0.5535 0.6432 0.8327  3 Pt 2.40-2.51
S: 0.6432 0.8327 0.5535  3 Pt 2.40-2.51
S: 0.7229 0.1449 0.1996  3 Pt 2.38-2.59
S: 0.8004 0.2771 0.8551  3 Pt 2.38-2.59
S: 0.8327 0.5535 0.6432  3 Pt 2.40-2.51
S: 0.8551 0.8004 0.2771  3 Pt 2.38-2.59

---

Compound: Ce2PtS
Source: the Alexandria database
Functional: PBE
Structure: relaxed

Results
Formation energy without anion corrections ... -1439 meV per atom
Symmetry ... R-3m, No. 166
Calculated total energy ... -83.4 eV per cell

a b c (Å): 4.0087 4.0087 21.2207
angles (deg): 90.00 90.00 120.00
With the nearest neighbours (Å) after each atom.
Positions (direct):
Ce: 0.0000 0.0000 0.2500  3 S 2.91, 3 Pt 2.91
Ce: 0.0000 0.0000 0.7500  3 S 2.91, 3 Pt 2.91
Ce: 0.3333 0.6667 0.4167  3 S 2.91, 3 Pt 2.91
Ce: 0.3333 0.6667 0.9166  3 S 2.91, 3 Pt 2.91
Ce: 0.6667 0.3333 0.0834  3 S 2.91, 3 Pt 2.91
Ce: 0.6667 0.3333 0.5833  3 S 2.91, 3 Pt 2.91
Pt: 0.0000 0.0000 0.0000  6 Ce 2.91
Pt: 0.3333 0.6667 0.6667  6 Ce 2.91
Pt: 0.6667 0.3333 0.3333  6 Ce 2.91
S: 0.0000 0.0000 0.5000  6 Ce 2.91
S: 0.3333 0.6667 0.1667  6 Ce 2.91
S: 0.6667 0.3333 0.8333  6 Ce 2.91

---

Compound: Ce2PtS
Source: the Alexandria database
Functional: PBE
Structure: relaxed

Results
Formation energy without anion corrections ... -1447 meV per atom
Symmetry ... Pmmn, No. 59
Calculated total energy ... -55.7 eV per cell

a b c (Å): 4.0143 5.7877 8.4765
angles (deg): 90.00 90.00 90.00
With the nearest neighbours (Å) after each atom.
Positions (direct):
Ce: 0.2500 0.2500 0.1267  4 S 2.87-2.90, 2 Pt 2.93
Ce: 0.2500 0.2500 0.6313  4 Pt 2.90-2.93, 2 S 2.94
Ce: 0.7500 0.7500 0.3687  4 Pt 2.90-2.93, 2 S 2.94
Ce: 0.7500 0.7500 0.8733  4 S 2.87-2.90, 2 Pt 2.93
Pt: 0.2500 0.7500 0.6212  6 Ce 2.90-2.93
Pt: 0.7500 0.2500 0.3788  6 Ce 2.90-2.93
S: 0.2500 0.7500 0.1161  6 Ce 2.87-2.94
S: 0.7500 0.2500 0.8839  6 Ce 2.87-2.94

---

Compound: CePtS2
Source: the Alexandria database
Functional: PBE
Structure: relaxed

Results
Formation energy without anion corrections ... -323 meV per atom
Symmetry ... R-3m, No. 166
Calculated total energy ... -64.6 eV per cell

a b c (Å): 3.6234 3.6234 24.2825
angles (deg): 90.00 90.00 120.00
With the nearest neighbours (Å) after each atom.
Positions (direct):
Ce: 0.0000 0.0000 0.0000  2 S 2.79
Ce: 0.3333 0.6667 0.6667  2 S 2.79
Ce: 0.6667 0.3333 0.3333  2 S 2.79
Pt: 0.0000 0.0000 0.5000  6 S 2.44
Pt: 0.3333 0.6667 0.1667  6 S 2.44
Pt: 0.6667 0.3333 0.8333  6 S 2.44
S: 0.0000 0.0000 0.1150  3 Pt 2.44
S: 0.0000 0.0000 0.8850  3 Pt 2.44
S: 0.3333 0.6667 0.5517  3 Pt 2.44
S: 0.3333 0.6667 0.7817  3 Pt 2.44
S: 0.6667 0.3333 0.2183  3 Pt 2.44
S: 0.6667 0.3333 0.4483  3 Pt 2.44

---

Compound: Ce2PtS
Source: the Alexandria database
Functional: PBE
Structure: relaxed

Results
Formation energy without anion corrections ... -1338 meV per atom
Symmetry ... R3m, No. 160
Calculated total energy ... -82.2 eV per cell

a b c (Å): 3.9712 3.9712 22.0752
angles (deg): 90.00 90.00 120.00
With the nearest neighbours (Å) after each atom.
Positions (direct):
Ce: 0.0000 0.0000 0.0000  3 Pt 2.88, 3 S 2.97
Ce: 0.0000 0.0000 0.1727  3 Pt 2.91, 3 S 3.00
Ce: 0.3333 0.6667 0.6667  3 Pt 2.88, 3 S 2.97
Ce: 0.3333 0.6667 0.8394  3 Pt 2.91, 3 S 3.00
Ce: 0.6667 0.3333 0.3333  3 Pt 2.88, 3 S 2.97
Ce: 0.6667 0.3333 0.5061  3 Pt 2.91, 3 S 3.00
Pt: 0.0000 0.0000 0.5874  6 Ce 2.88-2.91
Pt: 0.3333 0.6667 0.2541  6 Ce 2.88-2.91
Pt: 0.6667 0.3333 0.9208  6 Ce 2.88-2.91
S: 0.0000 0.0000 0.4185  6 Ce 2.97-3.00
S: 0.3333 0.6667 0.0852  6 Ce 2.97-3.00
S: 0.6667 0.3333 0.7519  6 Ce 2.97-3.00

---

Compound: Ce4PtSe2S
Source: the Alexandria database
Functional: PBE
Structure: relaxed

Results
Formation energy without anion corrections ... -1630 meV per atom
Symmetry ... P2/m, No. 10
Calculated total energy ... -53.9 eV per cell

a b c (Å): 7.2428 4.0830 7.3038
angles (deg): 90.00 109.16 90.00
With the nearest neighbours (Å) after each atom.
Positions (direct):
Ce: 0.2405 0.0000 0.2395  2 S 2.87, 1 Pt 2.96, 3 Se 2.97-3.00
Ce: 0.2551 0.5000 0.7641  2 Pt 2.88, 1 S 2.91, 3 Se 2.99-3.02
Ce: 0.7449 0.5000 0.2359  2 Pt 2.88, 1 S 2.91, 3 Se 2.99-3.02
Ce: 0.7595 0.0000 0.7605  2 S 2.87, 1 Pt 2.96, 3 Se 2.97-3.00
Pt: 0.5000 0.0000 0.0000  6 Ce 2.88-2.96
Se: 0.0000 0.0000 0.5000  6 Ce 2.97-2.99
Se: 0.5000 0.5000 0.5000  6 Ce 3.00-3.02
S: 0.0000 0.5000 0.0000  6 Ce 2.87-2.91

---

Compound: Ce4PtSeS2
Source: the Alexandria database
Functional: PBE
Structure: relaxed

Results
Formation energy without anion corrections ... -1671 meV per atom
Symmetry ... P2/m, No. 10
Calculated total energy ... -54.9 eV per cell

a b c (Å): 7.1750 4.0413 7.1975
angles (deg): 90.00 109.14 90.00
With the nearest neighbours (Å) after each atom.
Positions (direct):
Ce: 0.2359 0.0000 0.2443  3 S 2.84-2.88, 2 Se 2.96, 1 Pt 2.98
Ce: 0.2455 0.5000 0.7544  3 S 2.88-2.90, 2 Pt 2.90, 1 Se 2.98
Ce: 0.7545 0.5000 0.2456  3 S 2.88-2.90, 2 Pt 2.90, 1 Se 2.98
Ce: 0.7641 0.0000 0.7557  3 S 2.84-2.88, 2 Se 2.96, 1 Pt 2.98
Pt: 0.5000 0.0000 0.0000  6 Ce 2.90-2.98
Se: 0.5000 0.5000 0.5000  6 Ce 2.96-2.98
S: 0.0000 0.0000 0.5000  6 Ce 2.88-2.90
S: 0.0000 0.5000 0.0000  6 Ce 2.84-2.88

---

Compound: Ce3Tl3PtS8
Source: the Alexandria database
Functional: PBE
Structure: relaxed

Results
Formation energy without anion corrections ... -1169 meV per atom
Symmetry ... C2/m, No. 12
Calculated total energy ... -81.5 eV per cell

a b c (Å): 8.2067 8.2067 8.8853
angles (deg): 118.51 118.51 56.88
With the nearest neighbours (Å) after each atom.
Positions (direct):
Ce: 0.0000 0.0000 0.0000  6 S 2.79-2.81
Ce: 0.0000 0.5000 0.0000  6 S 2.70-2.84
Ce: 0.5000 0.0000 0.0000  6 S 2.70-2.84
Tl: 0.0000 0.5000 0.5000  6 S 3.16-3.40
Tl: 0.5000 0.0000 0.5000  6 S 3.16-3.40
Tl: 0.5000 0.5000 0.5000  6 S 3.25-3.29
Pt: 0.5000 0.5000 0.0000  4 S 2.38
S: 0.1962 0.1962 0.7568  2 Ce 2.70
S: 0.2315 0.2315 0.2057  3 Ce 2.79-2.81
S: 0.2665 0.6968 0.1719  1 Pt 2.38
S: 0.3032 0.7335 0.8281  1 Pt 2.38
S: 0.6968 0.2665 0.1719  1 Pt 2.38
S: 0.7335 0.3032 0.8281  1 Pt 2.38
S: 0.7685 0.7685 0.7943  3 Ce 2.79-2.81
S: 0.8038 0.8038 0.2432  2 Ce 2.70

---

Compound: Ce2Tl3PtS6
Source: the Alexandria database
Functional: PBE
Structure: relaxed

Results
Formation energy without anion corrections ... -996 meV per atom
Symmetry ... C2/m, No. 12
Calculated total energy ... -61.7 eV per cell

a b c (Å): 6.8043 6.8043 8.2113
angles (deg): 101.75 101.75 114.71
With the nearest neighbours (Å) after each atom.
Positions (direct):
Ce: 0.1663 0.8337 0.0000  6 S 2.74-2.91
Ce: 0.8337 0.1663 0.0000  6 S 2.74-2.91
Tl: 0.0000 0.0000 0.5000  6 S 3.02-3.17
Tl: 0.3283 0.6716 0.5000  4 S 3.07-3.39
Tl: 0.6716 0.3283 0.5000  4 S 3.07-3.39
Pt: 0.5000 0.5000 0.0000  4 S 2.40
S: 0.1312 0.4255 0.8256  1 Pt 2.40
S: 0.2093 0.2093 0.2463  2 Ce 2.78, 3 Tl 3.02-3.07
S: 0.4255 0.1312 0.8256  1 Pt 2.40
S: 0.5745 0.8688 0.1744  1 Pt 2.40
S: 0.7907 0.7907 0.7537  2 Ce 2.78, 3 Tl 3.02-3.07
S: 0.8688 0.5745 0.1744  1 Pt 2.40